Entry 1:
Compound: TbHoO3
Source: Alexandria via LeMat-Bulk
Functional: meta-GGA SCAN
Structure: single point on PBEsol structure

a = 5.873 Å, b = 8.353 Å, c = 5.607 Å
α = 90.00°, β = 90.00°, γ = 90.00°
Space group Pnma (No. 62)
One atom of each set of equivalent atoms:
Tb 0.056 0.250 0.024 (multiplicity 4)
Ho 0.000 0.000 0.500 (multiplicity 4)
O 0.079 0.750 0.348 (multiplicity 4)
O 0.192 0.582 0.811 (multiplicity 8)

- Uncorrected energy: -534.534 eV for the cell shown
- Spin magnetization: 0.0 μB per cell

---

Entry 2:
Compound: Ho5Ti5O17
Source: Alexandria via LeMat-Bulk
Functional: meta-GGA SCAN
Structure: single point on PBEsol structure

a = 3.794 Å, b = 5.380 Å, c = 30.956 Å
α = 90.00°, β = 90.00°, γ = 90.00°
Space group Pmn2_1 (No. 31)
One atom of each set of equivalent atoms:
Ho 0.000 0.154 0.000 (multiplicity 2)
Ho 0.000 0.208 0.220 (multiplicity 2)
Ho 0.000 0.346 0.443 (multiplicity 2)
Ho 0.000 0.674 0.319 (multiplicity 2)
Ho 0.000 0.827 0.124 (multiplicity 2)
Ti 0.000 0.217 0.898 (multiplicity 2)
Ti 0.000 0.263 0.722 (multiplicity 2)
Ti 0.000 0.282 0.546 (multiplicity 2)
Ti 0.000 0.732 0.633 (multiplicity 2)
Ti 0.000 0.766 0.809 (multiplicity 2)
O 0.000 0.062 0.495 (multiplicity 2)
O 0.000 0.064 0.667 (multiplicity 2)
O 0.000 0.070 0.839 (multiplicity 2)
O 0.000 0.246 0.143 (multiplicity 2)
O 0.000 0.262 0.298 (multiplicity 2)
O 0.000 0.420 0.777 (multiplicity 2)
O 0.000 0.421 0.605 (multiplicity 2)
O 0.000 0.437 0.948 (multiplicity 2)
O 0.000 0.544 0.856 (multiplicity 2)
O 0.000 0.559 0.510 (multiplicity 2)
O 0.000 0.574 0.693 (multiplicity 2)
O 0.000 0.715 0.393 (multiplicity 2)
O 0.000 0.775 0.219 (multiplicity 2)
O 0.000 0.785 0.051 (multiplicity 2)
O 0.000 0.930 0.751 (multiplicity 2)
O 0.000 0.940 0.933 (multiplicity 2)
O 0.000 0.950 0.586 (multiplicity 2)

- Uncorrected energy: -1056.075 eV for the cell shown
- Spin magnetization: 1.5 μB per cell

---

Entry 3:
Compound: HoTiO3
Source: Alexandria via LeMat-Bulk
Functional: meta-GGA SCAN
Structure: single point on PBEsol structure

a = 5.645 Å, b = 7.555 Å, c = 5.243 Å
α = 90.00°, β = 90.00°, γ = 90.00°
Space group Pnma (No. 62)
One atom of each set of equivalent atoms:
Ho 0.075 0.250 0.024 (multiplicity 4)
Ti 0.000 0.000 0.500 (multiplicity 4)
O 0.047 0.750 0.375 (multiplicity 4)
O 0.196 0.559 0.812 (multiplicity 8)

- Uncorrected energy: -406.202 eV for the cell shown
- Spin magnetization: 4.0 μB per cell

---

Which value of spin magnetization does entry 3 give?
4.0 μB per cell

---

Look up the uncorrected energy of the first one.
-534.534 eV for the cell shown